# 1
An optimized crystal structure of ErNp4N5, computed with PBE.

Summary:
* total DFT energy (no corrections): -110.28 eV for the cell shown
* D(E_F): 1.73 states/eV/atom
* theoretical density: 13.59 Mg/m³

Lattice parameters (Å, degrees): 4.8724 5.9722 5.9722 80.42 65.93 65.93
Last column: nearest neighbours and their distance in Å.
Atoms (fractional coordinates):
Er 0.0011 0.0000 0.0000  6 N 2.44-2.45
Np 0.4001 0.4002 0.8016  6 N 2.42-2.45
Np 0.8003 0.8016 0.5998  6 N 2.42-2.45
Np 0.2017 0.1984 0.4002  6 N 2.42-2.45
Np 0.6019 0.5998 0.1984  6 N 2.42-2.45
N 0.8997 0.4018 0.8008  5 Np 2.42-2.45, 1 Er 2.45
N 0.3015 0.8008 0.5982  5 Np 2.42-2.45, 1 Er 2.45
N 0.7005 0.1992 0.4018  5 Np 2.42-2.45, 1 Er 2.45
N 0.1023 0.5982 0.1992  5 Np 2.42-2.45, 1 Er 2.45
N 0.5012 0.0000 0.0000  4 Np 2.44, 2 Er 2.44

---

# 2
An optimized crystal structure of Er4NpN5, computed with PBE.

Summary:
* total DFT energy (no corrections): -89.27 eV for the cell shown
* D(E_F): 0.53 states/eV/atom
* theoretical density: 11.43 Mg/m³

Lattice parameters (Å, degrees): 4.8516 5.9263 5.9263 80.35 65.84 65.84
Last column: nearest neighbours and their distance in Å.
Atoms (fractional coordinates):
Er 0.4021 0.3997 0.7981  6 N 2.40-2.49
Er 0.8018 0.7981 0.6003  6 N 2.40-2.49
Er 0.2002 0.2019 0.3997  6 N 2.40-2.49
Er 0.6000 0.6003 0.2019  6 N 2.40-2.49
Np 0.0010 0.0000 0.0000  6 N 2.33-2.43
N 0.9061 0.3848 0.8050  1 Np 2.33, 5 Er 2.40-2.49
N 0.2909 0.8050 0.6152  1 Np 2.33, 5 Er 2.40-2.49
N 0.7111 0.1950 0.3848  1 Np 2.33, 5 Er 2.40-2.49
N 0.0959 0.6152 0.1950  1 Np 2.33, 5 Er 2.40-2.49
N 0.5012 0.0000 0.0000  4 Er 2.42, 2 Np 2.43

---

# 3
An optimized crystal structure of Er2NpN3, computed with PBE.

Summary:
* total DFT energy (no corrections): -108.13 eV for the cell shown
* D(E_F): 0.92 states/eV/atom
* theoretical density: 11.59 Mg/m³

Lattice parameters (Å, degrees): 3.3758 6.8027 8.3708 108.64 90.00 104.37
Last column: nearest neighbours and their distance in Å.
Atoms (fractional coordinates):
Er 0.1685 0.3370 0.3366  6 N 2.43-2.47
Er 0.8315 0.6630 0.6634  6 N 2.43-2.47
Er 0.3300 0.6600 0.1648  6 N 2.43-2.47
Er 0.6700 0.3400 0.8352  6 N 2.43-2.47
Np 0.5000 0.0000 0.0000  6 N 2.37-2.49
Np 0.0000 0.0000 0.5000  6 N 2.42-2.44
N 0.9717 0.9434 0.1992  3 Np 2.42-2.49, 3 Er 2.46-2.47
N 0.0283 0.0566 0.8008  3 Np 2.42-2.49, 3 Er 2.46-2.47
N 0.6891 0.3783 0.1345  1 Np 2.37, 5 Er 2.43-2.47
N 0.3109 0.6217 0.8655  1 Np 2.37, 5 Er 2.43-2.47
N 0.3620 0.7239 0.4726  4 Er 2.43-2.47, 2 Np 2.44
N 0.6380 0.2761 0.5274  4 Er 2.43-2.47, 2 Np 2.44

---

# 4
An optimized crystal structure of ErNpN2, computed with PBE.

Summary:
* total DFT energy (no corrections): -38.98 eV for the cell shown
* D(E_F): 0.99 states/eV/atom
* theoretical density: 12.32 Mg/m³

Lattice parameters (Å, degrees): 3.3499 3.3499 6.3016 74.59 74.59 60.00
Last column: nearest neighbours and their distance in Å.
Atoms (fractional coordinates):
Er 0.6700 0.6700 0.9899  6 N 2.38-2.47
Np 0.4986 0.4986 0.5041  6 N 2.47-2.48
N 0.0800 0.0800 0.7601  3 Er 2.38, 3 Np 2.47
N 0.2514 0.2514 0.2458  3 Er 2.47, 3 Np 2.48

---

# 5
An optimized crystal structure of Er2NpN4, computed with PBE.

Summary:
* total DFT energy (no corrections): -131.47 eV for the cell shown
* D(E_F): 0.40 states/eV/atom
* theoretical density: 10.79 Mg/m³

Lattice parameters (Å, degrees): 3.5003 5.7601 9.5820 90.00 90.00 90.00
Last column: nearest neighbours and their distance in Å.
Atoms (fractional coordinates):
Er 0.5000 0.9324 0.8222  6 N 2.31-2.45
Er 0.5000 0.0676 0.1778  6 N 2.31-2.45
Er 0.5000 0.4324 0.6778  6 N 2.31-2.45
Er 0.5000 0.5676 0.3222  6 N 2.31-2.45
Np 0.0000 0.0000 0.5000  6 N 2.04-2.25
Np 0.0000 0.5000 0.0000  6 N 2.04-2.25
N 0.0000 0.6415 0.8044  1 Np 2.04
N 0.0000 0.3585 0.1956  1 Np 2.04
N 0.0000 0.1415 0.6956  1 Np 2.04
N 0.0000 0.8585 0.3044  1 Np 2.04
N 0.5000 0.7681 0.5460  2 Np 2.25, 2 Er 2.31-2.44
N 0.5000 0.2319 0.4540  2 Np 2.25, 2 Er 2.31-2.44
N 0.5000 0.7319 0.0460  2 Np 2.25, 2 Er 2.31-2.44
N 0.5000 0.2681 0.9540  2 Np 2.25, 2 Er 2.31-2.44

---

# 6
An optimized crystal structure of ErNpN3, computed with PBE.

Summary:
* total DFT energy (no corrections): -193.27 eV for the cell shown
* D(E_F): 0.58 states/eV/atom
* theoretical density: 10.22 Mg/m³

Lattice parameters (Å, degrees): 6.6191 6.6191 6.6191 90.00 90.00 90.00
Last column: nearest neighbours and their distance in Å.
Atoms (fractional coordinates):
Er 0.8781 0.8781 0.8781  6 N 2.31-2.43
Er 0.6219 0.1219 0.3781  6 N 2.31-2.43
Er 0.3781 0.6219 0.1219  6 N 2.31-2.43
Er 0.1219 0.3781 0.6219  6 N 2.31-2.43
Np 0.0954 0.9046 0.4046  6 N 2.19-2.20
Np 0.4046 0.0954 0.9046  6 N 2.19-2.20
Np 0.5954 0.5954 0.5954  6 N 2.19-2.20
Np 0.9046 0.4046 0.0954  6 N 2.19-2.20
N 0.9769 0.2105 0.3531  2 Np 2.19-2.20, 2 Er 2.31-2.43
N 0.1469 0.0231 0.7105  2 Np 2.19-2.20, 2 Er 2.31-2.43
N 0.2105 0.3531 0.9769  2 Np 2.19-2.20, 2 Er 2.31-2.43
N 0.2895 0.6469 0.4769  2 Np 2.19-2.20, 2 Er 2.31-2.43
N 0.3531 0.9769 0.2105  2 Np 2.19-2.20, 2 Er 2.31-2.43
N 0.5231 0.7895 0.8531  2 Np 2.19-2.20, 2 Er 2.31-2.43
N 0.4769 0.2895 0.6469  2 Np 2.19-2.20, 2 Er 2.31-2.43
N 0.6469 0.4769 0.2895  2 Np 2.19-2.20, 2 Er 2.31-2.43
N 0.7105 0.1469 0.0231  2 Np 2.19-2.20, 2 Er 2.31-2.43
N 0.7895 0.8531 0.5231  2 Np 2.19-2.20, 2 Er 2.31-2.43
N 0.8531 0.5231 0.7895  2 Np 2.19-2.20, 2 Er 2.31-2.43
N 0.0231 0.7105 0.1469  2 Np 2.19-2.20, 2 Er 2.31-2.43